# 1
Here is Y6Ag5Ru after structural relaxation from Alexandria via LeMat-Bulk. Energies are from PBE-GGA.

As for the formation enthalpy at 0 K: -341.3 meV per atom. As for the total magnetic moment: 0.00 μB/f.u.

abc: 5.097 7.227 8.056
angles: 90.00 71.56 90.00
Positions (direct):
Y (0.841, 0.242, 0.318)
Y (0.159, 0.242, 0.682)
Y (0.841, 0.758, 0.318)
Y (0.500, 0.235, 0.000)
Y (0.159, 0.758, 0.682)
Y (0.500, 0.765, 0.000)
Ag (0.000, 0.500, 0.000)
Ag (0.328, 0.000, 0.345)
Ag (0.333, 0.500, 0.334)
Ag (0.667, 0.500, 0.666)
Ag (0.672, 0.000, 0.655)
Ru (0.000, 0.000, 0.000)

***

# 2
Here is LaTl2 after structural relaxation from Alexandria via LeMat-Bulk. Energies are from PBE-GGA.

As for the formation enthalpy at 0 K: -82.6 meV per atom. As for the total magnetic moment: 0.00 μB/f.u.

abc: 6.512 6.512 6.512
angles: 113.94 113.94 100.87
Positions (direct):
Tl (0.672, 0.172, 0.844)
Tl (0.828, 0.672, 0.500)
Tl (0.172, 0.328, 0.500)
Tl (0.328, 0.828, 0.156)
La (0.250, 0.250, 0.000)
La (0.750, 0.750, 0.000)

***

# 3
Here is BaSn2PbAu5 after structural relaxation from Alexandria via LeMat-Bulk. Energies are from PBE-GGA.

As for the formation enthalpy at 0 K: -226.9 meV per atom. As for the total magnetic moment: 0.00 μB/f.u.

abc: 5.351 5.351 8.912
angles: 90.00 90.00 90.00
Positions (direct):
Pb (0.000, 0.000, 0.000)
Ba (0.000, 0.000, 0.500)
Au (0.500, 0.500, 0.500)
Au (0.000, 0.500, 0.823)
Au (0.500, 0.000, 0.823)
Au (0.000, 0.500, 0.177)
Au (0.500, 0.000, 0.177)
Sn (0.500, 0.500, 0.202)
Sn (0.500, 0.500, 0.798)

***

# 4
Here is La2YTlH after structural relaxation from Alexandria via LeMat-Bulk. Energies are from PBE-GGA.

As for the total magnetic moment: 0.00 μB/f.u. As for the distance to the lowest polymorph of the same formula: 0.075 eV per atom.

abc: 4.842 4.842 5.411
angles: 90.00 90.00 90.00
Positions (direct):
Tl (0.000, 0.000, 0.500)
Y (0.500, 0.500, 0.500)
H (0.000, 0.000, 0.000)
La (0.500, 0.000, 0.000)
La (0.000, 0.500, 0.000)